No. 1
Computed, not measured: a geometry-optimized RbMo3Se3 structure at the PBE level of DFT.

POSCAR file:
```
RbMo3Se3
1.0
-0.6114 -7.2356 6.1350
-0.7437 -1.6111 -9.3390
4.4807 -0.5942 -0.2543
Rb Mo Se
2 6 6
Cartesian
2.7051 -5.8064 0.7863
0.4206 -3.6345 -4.2446
0.9013 -1.4898 -0.7858
3.2343 -1.7460 0.6226
2.6566 -7.7221 4.4087
-0.1086 -7.6949 -4.0810
0.4690 -1.7188 -7.8670
2.2243 -7.9512 -2.6725
2.7991 -1.9842 -6.4884
2.2565 -6.7129 -4.9984
0.1984 -6.3432 -1.8298
2.9272 -3.0977 -1.6285
0.8691 -2.7281 1.5400
0.3266 -7.4568 3.0301
```

Its crystal system is hexagonal. The total energy is -97.98 eV/cell. The uncorrected formation energy comes out at -0.725 eV/atom.

No. 2
Computed, not measured: a geometry-optimized Sb2Pb structure at the PBE level of DFT.

POSCAR file:
```
Sb2Pb
1.0
1.8739 6.2327 0.1282
-1.8739 6.2327 0.1282
0.0000 2.3063 7.5021
Sb Pb
4 2
Cartesian
0.0000 13.9373 5.8396
0.0000 0.8343 1.9188
0.0000 9.1689 3.4295
0.0000 5.6027 4.3290
0.0000 10.3025 6.8829
0.0000 4.4691 0.8756
```

Its crystal system is monoclinic. The total energy is -23.08 eV/cell. The uncorrected formation energy comes out at 0.137 eV/atom. For the energy above the most stable polymorph in this dataset, the calculation gives 69.9 meV/atom.

No. 3
Computed, not measured: a geometry-optimized TaBeSi structure at the PBE level of DFT.

POSCAR file:
```
TaBeSi
1.0
3.6762 0.0000 0.0000
-1.8381 3.1837 0.0000
0.0000 0.0000 3.3124
Si Be Ta
1 1 1
Cartesian
0.0000 2.1224 0.5520
0.0000 0.0000 0.5523
1.8381 1.0612 2.2082
```

Its crystal system is hexagonal. The total energy is -21.85 eV/cell. The uncorrected formation energy comes out at -0.283 eV/atom.

No. 4
Computed, not measured: a geometry-optimized MnCr2Hg2S6 structure at the PBE level of DFT.

POSCAR file:
```
MnCr2Hg2S6
1.0
5.7143 0.0100 0.2598
-2.8157 4.9724 0.2598
-0.6265 -1.0768 9.0273
Cr Hg S Mn
2 2 6 1
Cartesian
2.4349 1.1971 4.7735
-0.1628 2.7084 4.7735
4.3041 0.8304 0.2598
-1.4055 4.1520 0.2598
0.6891 1.1845 3.2582
3.6102 2.9056 3.6405
1.5306 -0.6690 5.9065
1.5830 2.7210 6.2888
0.7415 4.5745 3.6405
-1.3381 0.9999 5.9065
-0.3132 -0.5384 4.5137
```

Its crystal system is monoclinic. The total energy is -58.73 eV/cell. The uncorrected formation energy comes out at -0.449 eV/atom.

No. 5
Computed, not measured: a geometry-optimized PmYHf structure at the PBE level of DFT.

POSCAR file:
```
PmYHf
1.0
-2.7119 1.9388 0.6608
-2.7201 -4.3635 1.6395
2.9049 2.8567 3.5395
Hf Pm Y
1 1 1
Cartesian
0.5789 0.7724 3.0161
-0.4528 0.3237 0.1103
-2.6533 -0.6640 2.7135
```

Its crystal system is hexagonal. The total energy is -20.50 eV/cell. For the energy above the most stable polymorph in this dataset, the calculation gives 104.3 meV/atom. The energy relative to the elements comes out at 21.4 kJ/mol of atoms.

No. 6
Computed, not measured: a geometry-optimized SrTaSi2 structure at the PBE level of DFT.

POSCAR file:
```
SrTaSi2
1.0
-1.1702 -3.1735 -3.1973
0.4250 -3.3665 3.1859
-3.5678 0.4049 0.9039
Sr Si Ta
1 2 1
Cartesian
-2.3690 -1.3843 -1.1467
0.0000 0.0000 0.0000
-0.3726 -3.2700 -0.0057
-1.5714 -1.4808 2.0449
```

Its crystal system is tetragonal. The total energy is -22.49 eV/cell. The uncorrected formation energy comes out at 0.472 eV/atom. For the energy above the most stable polymorph in this dataset, the calculation gives 651.6 meV/atom.

No. 7
Computed, not measured: a geometry-optimized Y2CrSnH structure at the PBE level of DFT.

POSCAR file:
```
Y2CrSnH
1.0
4.8355 0.0000 0.0000
0.0000 4.8355 0.0000
0.0000 0.0000 4.2333
Sn Y H Cr
1 2 1 1
Cartesian
2.4177 2.4177 2.1166
0.0000 2.4177 0.0000
2.4177 0.0000 0.0000
0.0000 0.0000 0.0000
0.0000 0.0000 2.1166
```

Its crystal system is tetragonal. The total energy is -31.27 eV/cell.

No. 8
Computed, not measured: a geometry-optimized PSe structure at the PBE level of DFT.

POSCAR file:
```
PSe
1.0
-2.8602 1.4370 2.5173
3.0060 -2.0400 3.2278
3.4054 4.7787 -0.2456
Se P
2 2
Cartesian
4.3603 2.3461 2.2468
-0.8092 1.8296 3.2527
2.4316 1.2040 2.9055
1.1195 2.9717 2.5940
```

Its crystal system is triclinic. The total energy is -17.64 eV/cell. The uncorrected formation energy comes out at 0.038 eV/atom. For the energy above the most stable polymorph in this dataset, the calculation gives 118.2 meV/atom.